[1]
Computed, not measured: As3Rh after structural relaxation at the PBE level of DFT.

Cell lengths 5.9724, 5.9726, 9.7525 Å; angles 90.00, 90.00, 90.00 degrees
Element x y z (fractional)
As 0.1311 0.0025 0.7500
As 0.6311 0.4975 0.2500
As 0.3689 0.5025 0.7500
As 0.8689 0.9975 0.2500
As 0.6327 0.2386 0.8777
As 0.1327 0.2614 0.1223
As 0.8673 0.7386 0.6223
As 0.3673 0.7614 0.3777
As 0.3673 0.7614 0.1223
As 0.8673 0.7386 0.8777
As 0.1327 0.2614 0.3777
As 0.6327 0.2386 0.6223
Rh 0.5235 0.8835 0.7500
Rh 0.0235 0.6165 0.2500
Rh 0.9765 0.3835 0.7500
Rh 0.4765 0.1165 0.2500

Crystal system: orthorhombic
Calculated formation energy, eV per atom: -0.17
Offset from the most stable computed form, meV/atom: 275


[2]
Computed, not measured: K2LaZn after structural relaxation at the PBE level of DFT.

Cell lengths 10.5113, 10.5113, 5.0471 Å; angles 76.04, 76.04, 20.16 degrees
Element x y z (fractional)
K 0.9093 0.9093 0.0908
K 0.5907 0.5907 0.4092
La 0.7500 0.7500 0.7500
Zn 0.2500 0.2500 0.2500

Crystal system: monoclinic
Calculated formation energy, eV per atom: 0.14
Offset from the most stable computed form, meV/atom: 72


[3]
Computed, not measured: Tb2HoSe2S2 after structural relaxation at the PBE level of DFT.

Cell lengths 5.0509, 5.0509, 8.0816 Å; angles 108.21, 108.21, 90.00 degrees
Element x y z (fractional)
Tb 0.3801 0.3801 0.7602
Tb 0.6199 0.6199 0.2398
Ho 0.0000 0.0000 0.0000
Se 0.1898 0.1898 0.3796
Se 0.8102 0.8102 0.6204
S 0.0000 0.5000 0.0000
S 0.5000 0.0000 0.0000

Crystal system: tetragonal
Raw formation energy, eV/f.u.: -10.588


[4]
Computed, not measured: TbScMnIn after structural relaxation at the PBE level of DFT.

Cell lengths 5.0630, 5.0630, 5.0630 Å; angles 60.00, 60.00, 60.00 degrees
Site moments in Bohr magnetons follow the coordinates.
Element x y z (fractional)
Sc 0.0000 0.0000 0.0000  -0.30
Mn 0.7500 0.7500 0.7500  3.65
Tb 0.5000 0.5000 0.5000  -0.12
In 0.2500 0.2500 0.2500  0.00

Crystal system: cubic
Calculated formation energy, eV per atom: -0.10


[5]
Computed, not measured: Ba2LiZn2S2O2 after structural relaxation at the PBE level of DFT.

Cell lengths 4.1544, 6.6831, 7.4778 Å; angles 93.79, 106.14, 108.11 degrees
Site moments in Bohr magnetons follow the coordinates.
Element x y z (fractional)
Ba 0.5363 0.1755 0.7941  0.02
Ba 0.5691 0.8166 0.2192  0.03
Li 0.9461 0.2909 0.4987  0.02
Zn 0.2798 0.2368 0.2208  0.16
Zn 0.8202 0.7839 0.7539  0.01
S 0.8689 0.4273 0.2084  0.10
S 0.2270 0.5935 0.7578  0.01
O 0.8513 0.0108 0.5887  0.04
O 0.0513 0.9795 0.0209  0.04

Crystal system: monoclinic
Offset from the most stable computed form, meV/atom: 10
Raw formation energy, eV/f.u.: -13.509


[6]
Computed, not measured: PaTlFeS4 after structural relaxation at the PBE level of DFT.

Cell lengths 6.4072, 6.1019, 8.9831 Å; angles 90.00, 107.95, 90.00 degrees
Site moments in Bohr magnetons follow the coordinates.
Element x y z (fractional)
Pa 0.7497 0.7500 0.4431  0.14
Pa 0.2503 0.2500 0.5569  0.14
Tl 0.7290 0.7500 0.9406  0.01
Tl 0.2710 0.2500 0.0594  0.01
Fe 0.2338 0.7500 0.3349  2.82
Fe 0.7662 0.2500 0.6651  2.82
S 0.0148 0.5134 0.6969  0.06
S 0.9852 0.0134 0.3031  0.06
S 0.9852 0.4866 0.3031  0.06
S 0.0148 0.9866 0.6969  0.06
S 0.4359 0.7500 0.1704  0.07
S 0.5641 0.2500 0.8296  0.07
S 0.4401 0.7500 0.5882  0.07
S 0.5599 0.2500 0.4118  0.07

Crystal system: monoclinic
Raw formation energy, eV/f.u.: -6.521


[7]
Computed, not measured: K4RePb after structural relaxation at the PBE level of DFT.

Cell lengths 6.8870, 6.8870, 6.8870 Å; angles 60.00, 60.00, 60.00 degrees
Site moments in Bohr magnetons follow the coordinates.
Element x y z (fractional)
K 0.8752 0.3749 0.3749  0.00
K 0.3749 0.3749 0.8752  0.00
K 0.3749 0.8752 0.3749  0.00
K 0.3749 0.3749 0.3749  0.00
Re 0.0000 0.0000 0.0000  3.40
Pb 0.7500 0.7500 0.7500  0.00

Crystal system: cubic
Calculated formation energy, eV per atom: 1.21


[8]
Computed, not measured: MgPIr4 after structural relaxation at the PBE level of DFT.

Cell lengths 5.2018, 5.2018, 5.2018 Å; angles 60.00, 60.00, 60.00 degrees
Element x y z (fractional)
Mg 0.7500 0.7500 0.7500
P 0.0000 0.0000 0.0000
Ir 0.8752 0.3749 0.3749
Ir 0.3749 0.3749 0.8752
Ir 0.3749 0.8752 0.3749
Ir 0.3749 0.3749 0.3749

Crystal system: cubic
Calculated formation energy, eV per atom: 0.36


[9]
Computed, not measured: Zn6GaRu2 after structural relaxation at the PBE level of DFT.

Cell lengths 3.7324, 6.0182, 6.3749 Å; angles 109.14, 107.02, 90.00 degrees
Element x y z (fractional)
Zn 0.3951 0.8519 0.7902
Zn 0.6049 0.1481 0.2098
Zn 0.7257 0.8424 0.4514
Zn 0.1720 0.4990 0.3440
Zn 0.2743 0.1576 0.5486
Zn 0.8280 0.5010 0.6560
Ga 0.5000 0.5000 0.0000
Ru 0.9497 0.2034 0.8995
Ru 0.0503 0.7966 0.1005

Crystal system: monoclinic
Calculated formation energy, eV per atom: -0.11


[10]
Computed, not measured: Fe4AgHg after structural relaxation at the PBE level of DFT.

Cell lengths 4.9769, 4.9769, 4.9769 Å; angles 60.00, 60.00, 60.00 degrees
Site moments in Bohr magnetons follow the coordinates.
Element x y z (fractional)
Fe 0.8757 0.3748 0.3748  2.66
Fe 0.3748 0.3748 0.8757  2.66
Fe 0.3748 0.8757 0.3748  2.66
Fe 0.3748 0.3748 0.3748  2.66
Ag 0.0000 0.0000 0.0000  0.05
Hg 0.7500 0.7500 0.7500  -0.03

Crystal system: cubic
Calculated formation energy, eV per atom: 0.32


[11]
Computed, not measured: GdAgRh after structural relaxation at the PBE level of DFT.

Cell lengths 3.5678, 3.5678, 5.3799 Å; angles 109.36, 109.36, 90.00 degrees
Site moments in Bohr magnetons follow the coordinates.
Element x y z (fractional)
Gd 0.9379 0.9379 0.8758  7.04
Rh 0.2867 0.2867 0.5734  -0.01
Ag 0.6254 0.6254 0.2508  0.01

Crystal system: tetragonal
Calculated formation energy, eV per atom: -0.36


[12]
Computed, not measured: CoHgTe after structural relaxation at the PBE level of DFT.

Cell lengths 3.7537, 3.7537, 10.5120 Å; angles 90.00, 90.00, 90.00 degrees
Element x y z (fractional)
Co 0.0000 0.0000 0.0000
Co 0.5000 0.5000 0.0000
Hg 0.0000 0.5000 0.4050
Hg 0.5000 0.0000 0.5950
Te 0.0000 0.5000 0.8455
Te 0.5000 0.0000 0.1545

Crystal system: tetragonal
Offset from the most stable computed form, meV/atom: 0
Raw formation energy, eV/f.u.: -0.169


| no. | E_tot (eV per atom) |
| --- | --- |
| 1 | -5.493 |
| 2 | -1.961 |
| 3 | -5.664 |
| 4 | -5.818 |
| 5 | -4.443 |
| 6 | -6.194 |
| 7 | -2.214 |
| 8 | -6.718 |
| 9 | -3.355 |
| 10 | -5.843 |
| 11 | -8.455 |
| 12 | -3.573 |